# CaEuNbWO6 GGA+U relaxed
data_CaEuNbWO6
_cell_length_a 8.192
_cell_length_b 8.192
_cell_length_c 8.192
_cell_angle_alpha 90.00
_cell_angle_beta 90.00
_cell_angle_gamma 90.00
_space_group_name_H-M_alt 'F -4 3 m'
_space_group_IT_number 216
_space_group_name_Hall 'F -4 2 3'
loop_
_atom_site_label
_atom_site_fract_x
_atom_site_fract_y
_atom_site_fract_z
_atom_site_occupancy
Ca1 0.000 0.000 0.000 1
Eu1 0.000 0.000 0.500 1
Nb1 0.250 0.250 0.750 1
W1 0.250 0.250 0.250 1
O1 0.006 0.250 0.750 1
# Total DFT energy (no corrections) in eV per atom: -8.439